VASP calculation (PBE-GGA) on a geometry-optimized LuZnPd2 structure.

abc: 3.431 3.431 5.912
angles: 90.00 90.00 90.00
Fractional positions:
Lu 0.000 0.000 0.000
Zn 0.000 0.000 0.500
Pd 0.500 0.500 0.268
Pd 0.500 0.500 0.732

Summary:
SG: P4/mmm (123)
Calculated volume (Å³/cell): 70
Calculated density (g cm⁻³): 10.82
Magnetic moment (μB per atom): 0.00
Energy of formation from the pure elements (kJ per mole of atoms): -73.9

VASP calculation (PBE-GGA) on a geometry-optimized LuZnPd2 structure.

abc: 4.420 4.420 3.546
angles: 90.00 90.00 90.00
Fractional positions:
Lu 0.000 0.000 0.000
Zn 0.500 0.500 0.000
Pd 0.000 0.500 0.500
Pd 0.500 0.000 0.500

Summary:
SG: P4/mmm (123)
Calculated volume (Å³/cell): 69
Calculated density (g cm⁻³): 10.86
Magnetic moment (μB per atom): 0.00
Energy of formation from the pure elements (kJ per mole of atoms): -70.9

VASP calculation (PBE-GGA) on a geometry-optimized LuZn2Pd structure.

abc: 3.968 3.968 4.569
angles: 90.00 90.00 90.00
Fractional positions:
Lu 0.000 0.000 0.000
Zn 0.000 0.500 0.500
Zn 0.500 0.000 0.500
Pd 0.500 0.500 0.000

Summary:
SG: P4/mmm (123)
Calculated volume (Å³/cell): 72
Calculated density (g cm⁻³): 9.52
Magnetic moment (μB per atom): 0.00
Energy of formation from the pure elements (kJ per mole of atoms): -42.5

VASP calculation (PBE-GGA) on a geometry-optimized LuZn2Pd structure.

abc: 3.336 3.336 6.367
angles: 90.00 90.00 90.00
Fractional positions:
Lu 0.000 0.000 0.000
Zn 0.500 0.500 0.294
Zn 0.500 0.500 0.706
Pd 0.000 0.000 0.500

Summary:
SG: P4/mmm (123)
Calculated volume (Å³/cell): 71
Calculated density (g cm⁻³): 9.66
Magnetic moment (μB per atom): 0.00
Energy of formation from the pure elements (kJ per mole of atoms): -42.0

VASP calculation (PBE-GGA) on a geometry-optimized Lu2ZnPd structure.

abc: 6.930 6.930 6.930
angles: 90.00 90.00 90.00
Fractional positions:
Lu 0.250 0.250 0.250
Lu 0.250 0.250 0.750
Lu 0.250 0.750 0.250
Lu 0.250 0.750 0.750
Lu 0.750 0.250 0.250
Lu 0.750 0.250 0.750
Lu 0.750 0.750 0.250
Lu 0.750 0.750 0.750
Zn 0.000 0.000 0.000
Zn 0.000 0.500 0.500
Zn 0.500 0.000 0.500
Zn 0.500 0.500 0.000
Pd 0.000 0.000 0.500
Pd 0.000 0.500 0.000
Pd 0.500 0.000 0.000
Pd 0.500 0.500 0.500

Summary:
SG: Fm-3m (225)
Calculated volume (Å³/cell): 333
Calculated density (g cm⁻³): 10.42
Magnetic moment (μB per atom): 0.00
Energy of formation from the pure elements (kJ per mole of atoms): -63.2
Distance to the lowest polymorph of the same formula (eV per atom): 0.019

VASP calculation (PBE-GGA) on a geometry-optimized LuZnPd2 structure.

abc: 4.610 4.610 6.529
angles: 90.00 90.00 90.00
Fractional positions:
Lu 0.000 0.000 0.000
Lu 0.500 0.500 0.500
Zn 0.000 0.000 0.500
Zn 0.500 0.500 0.000
Pd 0.000 0.500 0.250
Pd 0.000 0.500 0.750
Pd 0.500 0.000 0.250
Pd 0.500 0.000 0.750

Summary:
SG: I4/mmm (139)
Calculated volume (Å³/cell): 139
Calculated density (g cm⁻³): 10.85
Magnetic moment (μB per atom): 0.00
Energy of formation from the pure elements (kJ per mole of atoms): -76.5

VASP calculation (PBE-GGA) on a geometry-optimized LuZrZnPd structure.

abc: 6.820 6.820 6.820
angles: 90.00 90.00 90.00
Fractional positions:
Lu 0.000 0.000 0.000
Lu 0.000 0.500 0.500
Lu 0.500 0.000 0.500
Lu 0.500 0.500 0.000
Zr 0.000 0.000 0.500
Zr 0.000 0.500 0.000
Zr 0.500 0.000 0.000
Zr 0.500 0.500 0.500
Zn 0.250 0.250 0.250
Zn 0.250 0.750 0.750
Zn 0.750 0.250 0.750
Zn 0.750 0.750 0.250
Pd 0.250 0.250 0.750
Pd 0.250 0.750 0.250
Pd 0.750 0.250 0.250
Pd 0.750 0.750 0.750

Summary:
SG: F-43m (216)
Calculated volume (Å³/cell): 317
Calculated density (g cm⁻³): 9.17
Magnetic moment (μB per atom): 0.00
Energy of formation from the pure elements (kJ per mole of atoms): -45.5

VASP calculation (PBE-GGA) on a geometry-optimized LuZrPd2 structure.

abc: 3.317 3.317 7.107
angles: 90.00 90.00 90.00
Fractional positions:
Lu 0.000 0.000 0.000
Zr 0.000 0.000 0.500
Pd 0.500 0.500 0.255
Pd 0.500 0.500 0.745

Summary:
SG: P4/mmm (123)
Calculated volume (Å³/cell): 78
Calculated density (g cm⁻³): 10.17
Magnetic moment (μB per atom): 0.00
Energy of formation from the pure elements (kJ per mole of atoms): -72.5

VASP calculation (PBE-GGA) on a geometry-optimized LuZrPd2 structure.

abc: 4.920 4.920 3.224
angles: 90.00 90.00 90.00
Fractional positions:
Lu 0.000 0.000 0.000
Zr 0.500 0.500 0.000
Pd 0.000 0.500 0.500
Pd 0.500 0.000 0.500

Summary:
SG: P4/mmm (123)
Calculated volume (Å³/cell): 78
Calculated density (g cm⁻³): 10.19
Magnetic moment (μB per atom): 0.00
Energy of formation from the pure elements (kJ per mole of atoms): -73.0

VASP calculation (PBE-GGA) on a geometry-optimized LuZrPd2 structure.

abc: 3.925 3.925 19.543
angles: 90.00 90.00 120.00
Fractional positions:
Lu 0.000 0.000 0.000
Lu 0.333 0.667 0.667
Lu 0.667 0.333 0.333
Zr 0.000 0.000 0.500
Zr 0.333 0.667 0.167
Zr 0.667 0.333 0.833
Pd 0.000 0.000 0.246
Pd 0.000 0.000 0.754
Pd 0.333 0.667 0.421
Pd 0.333 0.667 0.913
Pd 0.667 0.333 0.087
Pd 0.667 0.333 0.579

Summary:
SG: R-3m (166)
Calculated volume (Å³/cell): 261
Calculated density (g cm⁻³): 9.15
Magnetic moment (μB per atom): 0.00
Energy of formation from the pure elements (kJ per mole of atoms): -54.0

VASP calculation (PBE-GGA) on a geometry-optimized LuZr2Pd structure.

abc: 3.377 3.377 7.697
angles: 90.00 90.00 90.00
Fractional positions:
Lu 0.000 0.000 0.000
Zr 0.500 0.500 0.284
Zr 0.500 0.500 0.716
Pd 0.000 0.000 0.500

Summary:
SG: P4/mmm (123)
Calculated volume (Å³/cell): 88
Calculated density (g cm⁻³): 8.78
Magnetic moment (μB per atom): 0.00
Energy of formation from the pure elements (kJ per mole of atoms): -23.6

VASP calculation (PBE-GGA) on a geometry-optimized PmLu3 structure.

abc: 3.583 11.141 6.175
angles: 90.00 90.00 90.00
Fractional positions:
Pm 0.000 0.000 0.000
Pm 0.500 0.500 0.500
Lu 0.000 0.248 0.660
Lu 0.000 0.500 0.996
Lu 0.000 0.752 0.660
Lu 0.500 0.000 0.496
Lu 0.500 0.252 0.160
Lu 0.500 0.748 0.160

Summary:
SG: Imm2 (44)
Calculated volume (Å³/cell): 246
Calculated density (g cm⁻³): 9.03
Magnetic moment (μB per atom): 0.00
Energy of formation from the pure elements (kJ per mole of atoms): 0.8
Distance to the lowest polymorph of the same formula (eV per atom): 0.001